Record 1
Computed, not measured: a geometry-optimized AcYIr structure at the GGA-PBE level of DFT.

Values from the calculation:
Offset from the most stable computed form   0.052 eV per atom
Total energy   -7.007 eV/atom
Energy of formation from the pure elements   -0.529 eV/atom

Unit cell a=4.2737 b=4.2737 c=6.4931 alpha=90.00 beta=90.00 gamma=120.00
Last column: nearest neighbours and their distance in Å.
Space group P3m1 (No. 156)
Asymmetric unit:
1 Ac 0.0000 0.0000 0.0000 [1 per cell]  3 Ir 2.95
2 Y 0.6667 0.3333 0.4542 [1 per cell]  3 Ir 2.80
3 Ir 0.3333 0.6667 0.2498 [1 per cell]  3 Y 2.80, 3 Ac 2.95



Record 2
Computed, not measured: a geometry-optimized Tl2Cd6Hg structure at the GGA-PBE level of DFT.

Values from the calculation:
Total energy   -1.106 eV/atom
Energy of formation from the pure elements   0.063 eV/atom

Unit cell a=15.6882 b=9.0575 c=3.2935 alpha=90.00 beta=90.07 gamma=90.00
Last column: nearest neighbours and their distance in Å.
Space group C2/m (No. 12)
Asymmetric unit:
1 Tl 0.1667 0.0000 0.0000 [4 per cell]  2 Tl 3.29, 12 Cd 3.45-3.46
2 Cd 0.0000 0.1703 0.5000 [4 per cell]  5 Cd 2.99-3.29
3 Cd 0.1648 0.3352 0.4961 [8 per cell]  5 Cd 2.99-3.29
4 Hg 0.0000 0.5000 0.0000 [2 per cell]  2 Hg 3.29, 12 Cd 3.40-3.42



Record 3
Computed, not measured: a geometry-optimized CeCoRh structure at the GGA-PBE level of DFT.

Values from the calculation:
Total energy   -7.157 eV/atom
Energy of formation from the pure elements   -0.360 eV/atom

Unit cell a=4.1276 b=4.1276 c=3.8126 alpha=90.00 beta=90.00 gamma=120.00
Last column: nearest neighbours and their distance in Å.
Space group P-6m2 (No. 187)
Asymmetric unit:
1 Ce 0.0000 0.0000 0.0000 [1 per cell]  6 Co 3.05, 6 Rh 3.05
2 Co 0.3333 0.6667 0.5000 [1 per cell]  3 Rh 2.38
3 Rh 0.6667 0.3333 0.5000 [1 per cell]  3 Co 2.38



Record 4
Computed, not measured: a geometry-optimized In7Hg2 structure at the GGA-PBE level of DFT.

Values from the calculation:
Total energy   -2.175 eV/atom
Energy of formation from the pure elements   0.022 eV/atom

Unit cell a=5.7512 b=5.7512 c=8.4377 alpha=90.00 beta=90.00 gamma=120.00
Last column: nearest neighbours and their distance in Å.
Space group P-31m (No. 162)
Asymmetric unit:
1 In 0.0000 0.0000 0.0000 [1 per cell]  6 Hg 3.32, 6 In 3.37
2 In 0.0000 0.3351 0.6727 [6 per cell]  10 In 3.31-3.49, 2 Hg 3.36
3 Hg 0.3333 0.6667 0.0000 [2 per cell]  9 In 3.32-3.36, 3 Hg 3.32



Record 5
Computed, not measured: a geometry-optimized Hg4PBrCl2 structure at the GGA-PBE level of DFT.

Values from the calculation:
Total energy   -1.658 eV/atom
Raw formation energy   -0.16 eV per atom

Unit cell a=11.0780 b=14.4827 c=7.8867 alpha=90.00 beta=134.34 gamma=90.00
Last column: nearest neighbours and their distance in Å.
Space group C2/c (No. 15)
Asymmetric unit:
1 Hg 0.0024 0.2482 0.0191 [8 per cell]  2 P 2.69-2.71, 2 Cl 2.85-2.93
2 Hg 0.2417 0.4332 0.4921 [8 per cell]  1 P 2.65, 2 Cl 2.89-2.94
3 P 0.2500 0.2500 0.5000 [4 per cell]  6 Hg 2.65-2.71
4 Br 0.0000 0.0000 0.0000 [4 per cell]  4 Hg 2.98-3.02
5 Cl 0.0000 0.5000 0.0000 [4 per cell]  4 Hg 2.89-2.94
6 Cl 0.2500 0.2500 0.0000 [4 per cell]  4 Hg 2.85-2.93



Record 6
Computed, not measured: a geometry-optimized TaNiIr2 structure at the GGA-PBE level of DFT.

Values from the calculation:
Total energy   -9.086 eV/atom
Energy of formation from the pure elements   -0.247 eV/atom

Unit cell a=2.7328 b=4.2291 c=5.2254 alpha=90.00 beta=104.67 gamma=90.00
Last column: nearest neighbours and their distance in Å.
Space group P2/m (No. 10)
Asymmetric unit:
1 Ta 0.0000 0.0000 0.0000 [1 per cell]  2 Ni 2.61, 2 Ta 2.73, 8 Ir 2.86
2 Ni 0.0000 0.0000 0.5000 [1 per cell]  4 Ir 2.52, 2 Ta 2.61, 2 Ni 2.73
3 Ir 0.3724 0.5000 0.7317 [2 per cell]  2 Ni 2.52, 5 Ir 2.68-2.74



Record 7
Computed, not measured: a geometry-optimized BaCd2Ag2 structure at the GGA-PBE level of DFT.

Values from the calculation:
Offset from the most stable computed form   0.000 eV per atom
Total energy   -2.129 eV/atom
Energy of formation from the pure elements   -0.238 eV/atom

Unit cell a=4.6650 b=4.6650 c=12.5487 alpha=90.00 beta=90.00 gamma=90.00
Last column: nearest neighbours and their distance in Å.
Space group I4/mmm (No. 139)
Asymmetric unit:
1 Ba 0.0000 0.0000 0.0000 [2 per cell]  8 Ag 3.59, 8 Cd 3.91
2 Cd 0.0000 0.5000 0.2500 [4 per cell]  4 Ag 2.91
3 Ag 0.0000 0.0000 0.3880 [4 per cell]  1 Ag 2.81, 4 Cd 2.91



Record 8
Computed, not measured: a geometry-optimized MnBeSi structure at the GGA-PBE level of DFT.

Values from the calculation:
Total energy   -5.904 eV/atom
Raw formation energy   0.20 eV per atom

Unit cell a=5.3994 b=5.3994 c=5.3994 alpha=90.00 beta=90.00 gamma=90.00
Last column: nearest neighbours and their distance in Å.
Space group F-43m (No. 216)
Asymmetric unit:
1 Mn 0.0000 0.0000 0.0000 [4 per cell]  4 Be 2.34, 4 Si 2.34
2 Be 0.2500 0.2500 0.7500 [4 per cell]  4 Mn 2.34
3 Si 0.2500 0.2500 0.2500 [4 per cell]  4 Mn 2.34



Record 9
Computed, not measured: a geometry-optimized NdPaPd2 structure at the GGA-PBE level of DFT.

Values from the calculation:
Offset from the most stable computed form   0.077 eV per atom
Total energy   -6.614 eV/atom
Energy of formation from the pure elements   -0.451 eV/atom

Unit cell a=7.1307 b=7.1307 c=7.1307 alpha=90.00 beta=90.00 gamma=90.00
Last column: nearest neighbours and their distance in Å.
Space group Fm-3m (No. 225)
Asymmetric unit:
1 Nd 0.0000 0.0000 0.0000 [4 per cell]  8 Pd 3.09
2 Pa 0.0000 0.0000 0.5000 [4 per cell]  8 Pd 3.09
3 Pd 0.2500 0.2500 0.2500 [8 per cell]  4 Pa 3.09, 4 Nd 3.09



Record 10
Computed, not measured: a geometry-optimized SnHg5 structure at the GGA-PBE level of DFT.

Values from the calculation:
Offset from the most stable computed form   0.000 eV per atom
Total energy   -0.870 eV/atom
Energy of formation from the pure elements   0.049 eV/atom

Unit cell a=3.4619 b=3.4619 c=15.5522 alpha=90.00 beta=90.00 gamma=120.00
Last column: nearest neighbours and their distance in Å.
Space group P-6m2 (No. 187)
Asymmetric unit:
1 Sn 0.0000 0.0000 0.0000 [1 per cell]  6 Hg 3.31, 6 Sn 3.46
2 Hg 0.0000 0.0000 0.3340 [2 per cell]  12 Hg 3.25-3.46
3 Hg 0.6667 0.3333 0.1693 [2 per cell]  9 Hg 3.25-3.46, 3 Sn 3.31
4 Hg 0.6667 0.3333 0.5000 [1 per cell]  12 Hg 3.27-3.46



Record 11
Computed, not measured: a geometry-optimized KCdOs structure at the GGA-PBE level of DFT.

Values from the calculation:
Offset from the most stable computed form   0.103 eV per atom
Total energy   -3.449 eV/atom
Energy of formation from the pure elements   0.965 eV/atom

Unit cell a=2.8164 b=2.8164 c=16.1582 alpha=90.00 beta=90.00 gamma=90.00
Last column: nearest neighbours and their distance in Å.
Space group I4mm (No. 107)
Asymmetric unit:
1 K 0.0000 0.0000 0.0000 [2 per cell]  4 K 2.82
2 Cd 0.0000 0.0000 0.3058 [2 per cell]  4 Cd 2.82, 4 Os 2.99
3 Os 0.0000 0.0000 0.6680 [2 per cell]  4 Os 2.82, 4 Cd 2.99



Record 12
Computed, not measured: a geometry-optimized BaInSn2N structure at the GGA-PBE level of DFT.

Values from the calculation:
Total energy   -4.137 eV/atom
Raw formation energy   0.06 eV per atom

Unit cell a=4.9173 b=4.9173 c=5.4691 alpha=90.00 beta=90.00 gamma=90.00
Last column: nearest neighbours and their distance in Å.
Space group P4/mmm (No. 123)
Asymmetric unit:
1 Ba 0.0000 0.0000 0.0000 [1 per cell]  2 N 2.73
2 In 0.5000 0.5000 0.0000 [1 per cell]  4 Ba 3.48, 8 Sn 3.68
3 Sn 0.0000 0.5000 0.5000 [2 per cell]  2 N 2.46
4 N 0.0000 0.0000 0.5000 [1 per cell]  4 Sn 2.46, 2 Ba 2.73